# Fe2AgSbSe PBE-GGA optimized geometry
# Density of states at the Fermi level (states/eV/f.u.): 6.98
# SG: No. 123
# Energy relative to the elements, uncorrected (eV/atom): 1.106
# E_tot (eV/f.u.): -21.86
# Magnetic moment (μB/cell): 6.0
data_Fe2AgSbSe
_space_group_name_H-M_alt 'P 1'
_space_group_IT_number 1
_space_group_name_Hall 'P 1'
_cell_length_a 4.8176
_cell_length_b 4.8176
_cell_length_c 5.6127
_cell_angle_alpha 90.00
_cell_angle_beta 90.00
_cell_angle_gamma 90.00
loop_
_atom_site_label
_atom_site_type_symbol
_atom_site_fract_x
_atom_site_fract_y
_atom_site_fract_z
Fe1 Fe 0.0000 0.5000 0.0000
Fe2 Fe 0.5000 0.0000 0.0000
Ag1 Ag 0.0000 0.0000 0.5000
Sb1 Sb 0.5000 0.5000 0.0000
Se1 Se 0.5000 0.5000 0.5000

# FeHPt2 PBE-GGA optimized geometry
# Density of states at the Fermi level (states/eV/f.u.): 3.16
# SG: No. 166
# E_tot (eV/f.u.): -23.78
# Magnetic moment (μB/cell): 10.4
data_FeHPt2
_space_group_name_H-M_alt 'P 1'
_space_group_IT_number 1
_space_group_name_Hall 'P 1'
_cell_length_a 2.8072
_cell_length_b 2.8072
_cell_length_c 20.7446
_cell_angle_alpha 90.00
_cell_angle_beta 90.00
_cell_angle_gamma 120.00
loop_
_atom_site_label
_atom_site_type_symbol
_atom_site_fract_x
_atom_site_fract_y
_atom_site_fract_z
Fe1 Fe 0.0000 0.0000 0.0000
Fe2 Fe 0.3333 0.6667 0.6667
Fe3 Fe 0.6667 0.3333 0.3333
H1 H 0.0000 0.0000 0.5000
H2 H 0.3333 0.6667 0.1667
H3 H 0.6667 0.3333 0.8333
Pt1 Pt 0.0000 0.0000 0.2316
Pt2 Pt 0.0000 0.0000 0.7684
Pt3 Pt 0.3333 0.6667 0.4351
Pt4 Pt 0.3333 0.6667 0.8983
Pt5 Pt 0.6667 0.3333 0.1017
Pt6 Pt 0.6667 0.3333 0.5649

# Nd4Tl3Zn PBE-GGA optimized geometry
# Density of states at the Fermi level (states/eV/f.u.): 9.64
# SG: No. 25
# E_tot (eV/f.u.): -29.82
# Magnetic moment (μB/cell): 0.5
# Formation energy from the elements (eV per atom): -0.2975
data_Nd4Tl3Zn
_space_group_name_H-M_alt 'P 1'
_space_group_IT_number 1
_space_group_name_Hall 'P 1'
_cell_length_a 4.4449
_cell_length_b 4.6078
_cell_length_c 11.8273
_cell_angle_alpha 90.00
_cell_angle_beta 90.00
_cell_angle_gamma 90.00
loop_
_atom_site_label
_atom_site_type_symbol
_atom_site_fract_x
_atom_site_fract_y
_atom_site_fract_z
Nd1 Nd 0.0000 0.0000 0.0000
Nd2 Nd 0.0000 0.5000 0.2690
Nd3 Nd 0.5000 0.0000 0.4789
Nd4 Nd 0.5000 0.5000 0.7732
Tl1 Tl 0.0000 0.0000 0.7199
Tl2 Tl 0.0000 0.5000 0.5436
Tl3 Tl 0.5000 0.5000 0.0510
Zn1 Zn 0.5000 0.0000 0.2091

# Tl2CoBi PBE-GGA optimized geometry
# Density of states at the Fermi level (states/eV/f.u.): 3.08
# SG: No. 122
# E_tot (eV/f.u.): -13.31
# Magnetic moment (μB/cell): 6.2
# Formation energy from the elements (eV per atom): 0.6034
data_Tl2CoBi
_space_group_name_H-M_alt 'P 1'
_space_group_IT_number 1
_space_group_name_Hall 'P 1'
_cell_length_a 4.9332
_cell_length_b 4.9332
_cell_length_c 18.3463
_cell_angle_alpha 90.00
_cell_angle_beta 90.00
_cell_angle_gamma 90.00
loop_
_atom_site_label
_atom_site_type_symbol
_atom_site_fract_x
_atom_site_fract_y
_atom_site_fract_z
Tl1 Tl 0.1733 0.2500 0.1250
Tl2 Tl 0.2500 0.6733 0.3750
Tl3 Tl 0.2500 0.8267 0.8750
Tl4 Tl 0.3267 0.2500 0.6250
Tl5 Tl 0.6733 0.7500 0.6250
Tl6 Tl 0.7500 0.1733 0.8750
Tl7 Tl 0.7500 0.3267 0.3750
Tl8 Tl 0.8267 0.7500 0.1250
Co1 Co 0.0000 0.0000 0.0000
Co2 Co 0.0000 0.5000 0.2500
Co3 Co 0.5000 0.0000 0.7500
Co4 Co 0.5000 0.5000 0.5000
Bi1 Bi 0.0000 0.0000 0.5000
Bi2 Bi 0.0000 0.5000 0.7500
Bi3 Bi 0.5000 0.0000 0.2500
Bi4 Bi 0.5000 0.5000 0.0000

# Pu2Ge2Rh3 PBE-GGA optimized geometry
# Density of states at the Fermi level (states/eV/f.u.): 9.53
# SG: No. 12
# E_tot (eV/f.u.): -62.50
# Magnetic moment (μB/cell): 0.0
# Formation energy from the elements (eV per atom): -0.3638
data_Pu2Ge2Rh3
_space_group_name_H-M_alt 'P 1'
_space_group_IT_number 1
_space_group_name_Hall 'P 1'
_cell_length_a 11.3402
_cell_length_b 3.2950
_cell_length_c 7.6148
_cell_angle_alpha 90.00
_cell_angle_beta 124.00
_cell_angle_gamma 90.00
loop_
_atom_site_label
_atom_site_type_symbol
_atom_site_fract_x
_atom_site_fract_y
_atom_site_fract_z
Pu1 Pu 0.1750 0.0000 0.3766
Pu2 Pu 0.3250 0.5000 0.6234
Pu3 Pu 0.6750 0.5000 0.3766
Pu4 Pu 0.8250 0.0000 0.6234
Ge1 Ge 0.1671 0.0000 0.7728
Ge2 Ge 0.3329 0.5000 0.2272
Ge3 Ge 0.6671 0.5000 0.7728
Ge4 Ge 0.8329 0.0000 0.2272
Rh1 Rh 0.0000 0.5000 0.5000
Rh2 Rh 0.0789 0.5000 0.9197
Rh3 Rh 0.4211 0.0000 0.0803
Rh4 Rh 0.5000 0.0000 0.5000
Rh5 Rh 0.5789 0.0000 0.9197
Rh6 Rh 0.9211 0.5000 0.0803

# InOs2F PBE-GGA optimized geometry
# Density of states at the Fermi level (states/eV/f.u.): 2.36
# SG: No. 122
# Energy relative to the elements, uncorrected (eV/atom): 0.709
# E_tot (eV/f.u.): -24.23
# Magnetic moment (μB/cell): 0.0
data_InOs2F
_space_group_name_H-M_alt 'P 1'
_space_group_IT_number 1
_space_group_name_Hall 'P 1'
_cell_length_a 7.4875
_cell_length_b 7.4875
_cell_length_c 4.6371
_cell_angle_alpha 90.00
_cell_angle_beta 90.00
_cell_angle_gamma 90.00
loop_
_atom_site_label
_atom_site_type_symbol
_atom_site_fract_x
_atom_site_fract_y
_atom_site_fract_z
In1 In 0.0000 0.0000 0.0000
In2 In 0.0000 0.5000 0.2500
In3 In 0.5000 0.0000 0.7500
In4 In 0.5000 0.5000 0.5000
Os1 Os 0.1918 0.7500 0.6250
Os2 Os 0.2500 0.1918 0.3750
Os3 Os 0.2500 0.3082 0.8750
Os4 Os 0.3082 0.7500 0.1250
Os5 Os 0.6918 0.2500 0.1250
Os6 Os 0.7500 0.6918 0.8750
Os7 Os 0.7500 0.8082 0.3750
Os8 Os 0.8082 0.2500 0.6250
F1 F 0.0000 0.0000 0.5000
F2 F 0.0000 0.5000 0.7500
F3 F 0.5000 0.0000 0.2500
F4 F 0.5000 0.5000 0.0000

# Mn2P PBE-GGA optimized geometry
# Density of states at the Fermi level (states/eV/f.u.): 3.21
# SG: No. 12
# E_tot (eV/f.u.): -24.45
# Magnetic moment (μB/cell): 0.0
# Formation energy from the elements (eV per atom): -0.2340
data_Mn2P
_space_group_name_H-M_alt 'P 1'
_space_group_IT_number 1
_space_group_name_Hall 'P 1'
_cell_length_a 6.4560
_cell_length_b 4.0110
_cell_length_c 2.7048
_cell_angle_alpha 90.00
_cell_angle_beta 107.16
_cell_angle_gamma 90.00
loop_
_atom_site_label
_atom_site_type_symbol
_atom_site_fract_x
_atom_site_fract_y
_atom_site_fract_z
Mn1 Mn 0.1872 0.0000 0.2269
Mn2 Mn 0.3128 0.5000 0.7731
Mn3 Mn 0.6872 0.5000 0.2269
Mn4 Mn 0.8128 0.0000 0.7731
P1 P 0.0000 0.5000 0.0000
P2 P 0.5000 0.0000 0.0000

# KCu2F PBE-GGA optimized geometry
# Density of states at the Fermi level (states/eV/f.u.): 0.61
# SG: No. 122
# Energy relative to the elements, uncorrected (eV/atom): -0.729
# E_tot (eV/f.u.): -14.08
# Magnetic moment (μB/cell): 0.0
data_KCu2F
_space_group_name_H-M_alt 'P 1'
_space_group_IT_number 1
_space_group_name_Hall 'P 1'
_cell_length_a 3.4714
_cell_length_b 3.4714
_cell_length_c 27.2236
_cell_angle_alpha 90.00
_cell_angle_beta 90.00
_cell_angle_gamma 90.00
loop_
_atom_site_label
_atom_site_type_symbol
_atom_site_fract_x
_atom_site_fract_y
_atom_site_fract_z
K1 K 0.0000 0.0000 0.0000
K2 K 0.0000 0.5000 0.2500
K3 K 0.5000 0.0000 0.7500
K4 K 0.5000 0.5000 0.5000
Cu1 Cu 0.2493 0.7500 0.6250
Cu2 Cu 0.2500 0.2493 0.3750
Cu3 Cu 0.2500 0.2507 0.8750
Cu4 Cu 0.2507 0.7500 0.1250
Cu5 Cu 0.7493 0.2500 0.1250
Cu6 Cu 0.7500 0.7493 0.8750
Cu7 Cu 0.7500 0.7507 0.3750
Cu8 Cu 0.7507 0.2500 0.6250
F1 F 0.0000 0.0000 0.5000
F2 F 0.0000 0.5000 0.7500
F3 F 0.5000 0.0000 0.2500
F4 F 0.5000 0.5000 0.0000

# Ce2SbCl PBE-GGA optimized geometry
# Density of states at the Fermi level (states/eV/f.u.): 13.29
# SG: No. 160
# Energy relative to the elements, uncorrected (eV/atom): -1.106
# E_tot (eV/f.u.): -22.26
# Magnetic moment (μB/cell): 7.9
data_Ce2SbCl
_space_group_name_H-M_alt 'P 1'
_space_group_IT_number 1
_space_group_name_Hall 'P 1'
_cell_length_a 4.1809
_cell_length_b 4.1809
_cell_length_c 23.0701
_cell_angle_alpha 90.00
_cell_angle_beta 90.00
_cell_angle_gamma 120.00
loop_
_atom_site_label
_atom_site_type_symbol
_atom_site_fract_x
_atom_site_fract_y
_atom_site_fract_z
Ce1 Ce 0.0000 0.0000 0.0000
Ce2 Ce 0.0000 0.0000 0.1667
Ce3 Ce 0.3333 0.6667 0.6667
Ce4 Ce 0.3333 0.6667 0.8334
Ce5 Ce 0.6667 0.3333 0.3333
Ce6 Ce 0.6667 0.3333 0.5000
Sb1 Sb 0.0000 0.0000 0.5841
Sb2 Sb 0.3333 0.6667 0.2508
Sb3 Sb 0.6667 0.3333 0.9174
Cl1 Cl 0.0000 0.0000 0.4145
Cl2 Cl 0.3333 0.6667 0.0811
Cl3 Cl 0.6667 0.3333 0.7478

# CrOsSe2 PBE-GGA optimized geometry
# Density of states at the Fermi level (states/eV/f.u.): 2.99
# SG: No. 123
# Energy relative to the elements, uncorrected (eV/atom): 0.375
# E_tot (eV/f.u.): -26.32
# Magnetic moment (μB/cell): 2.7
data_CrOsSe2
_space_group_name_H-M_alt 'P 1'
_space_group_IT_number 1
_space_group_name_Hall 'P 1'
_cell_length_a 4.4380
_cell_length_b 4.4380
_cell_length_c 3.1628
_cell_angle_alpha 90.00
_cell_angle_beta 90.00
_cell_angle_gamma 90.00
loop_
_atom_site_label
_atom_site_type_symbol
_atom_site_fract_x
_atom_site_fract_y
_atom_site_fract_z
Cr1 Cr 0.0000 0.0000 0.0000
Os1 Os 0.5000 0.5000 0.0000
Se1 Se 0.0000 0.5000 0.5000
Se2 Se 0.5000 0.0000 0.5000